[1]
Computed, not measured: a geometry-optimized ZrAl2Ir structure at the PBE level of DFT.

Cell: 3.115 3.115 6.839 Å, 90.00 90.00 90.00°
Element x y z (fractional)
Zr  0.000  0.000  0.000
Al  0.000  0.000  0.523
Al  0.500  0.500  0.282
Ir  0.500  0.500  0.709

Summary:
- Crystal system: tetragonal
- D(E_F): 0.7131 states/eV/atom
- Space group: No. 99
- Calculated density: 8.44 g/cm3
- Energy of formation from the pure elements: -58.6 kJ per mole of atoms

=====

[2]
Computed, not measured: a geometry-optimized Zr2AlIr structure at the PBE level of DFT.

Cell: 5.099 5.099 5.099 Å, 133.67 127.39 72.68°
Element x y z (fractional)
Zr  0.233  0.233  0.000
Zr  0.767  0.767  0.000
Al  0.500  0.000  0.500
Ir  0.000  0.500  0.500

Summary:
- Crystal system: orthorhombic
- D(E_F): 1.0471 states/eV/atom
- Space group: No. 71
- Calculated density: 8.96 g/cm3
- Energy of formation from the pure elements: -53.2 kJ per mole of atoms

=====

[3]
Computed, not measured: a geometry-optimized ZrAl2Ir2 structure at the PBE level of DFT.

Cell: 6.685 6.685 6.685 Å, 147.72 147.72 46.30°
Element x y z (fractional)
Zr  0.000  0.000  0.000
Al  0.250  0.750  0.500
Al  0.750  0.250  0.500
Ir  0.392  0.392  0.000
Ir  0.608  0.608  0.000

Summary:
- Crystal system: tetragonal
- D(E_F): 0.4932 states/eV/atom
- Space group: No. 139
- Calculated density: 10.36 g/cm3
- Energy of formation from the pure elements: -70.7 kJ per mole of atoms
- Excess energy over the best structure of this formula in the dataset: 1.90 kcal/mol of atoms